<A>
Density functional theory data (PBE-GGA) for a geometry-optimized Er2TmCd2 structure.

Summary:
The crystal system is monoclinic. The value obtained for the calculated volume is 264 Å³/cell.

Structure (CIF):
```
data_Er2TmCd2
_chemical_formula_sum 'Er4 Tm2 Cd4'
_cell_length_a 3.688
_cell_length_b 5.273
_cell_length_c 13.717
_cell_angle_alpha 90.00
_cell_angle_beta 97.77
_cell_angle_gamma 90.00
_symmetry_space_group_name_H-M 'P 1 21/m 1'
_symmetry_Int_Tables_number 11
loop_
_symmetry_equiv_pos_as_xyz
'x,y,z'
'-x,-y,-z'
'-x,y+1/2,-z'
'x,-y+1/2,z'
loop_
_atom_site_label
_atom_site_type_symbol
_atom_site_fract_x
_atom_site_fract_y
_atom_site_fract_z
Er1 Er 0.045 0.250 0.091
Er2 Er 0.236 0.250 0.473
Tm1 Tm 0.150 0.750 0.299
Cd1 Cd 0.359 0.750 0.718
Cd2 Cd 0.448 0.250 0.896
```


<B>
Density functional theory data (PBE-GGA) for a geometry-optimized Er2TmCd2 structure.

Summary:
The crystal system is orthorhombic. The value obtained for the calculated volume is 592 Å³/cell.

Structure (CIF):
```
data_Er2TmCd2
_chemical_formula_sum 'Er8 Tm4 Cd8'
_cell_length_a 8.994
_cell_length_b 10.923
_cell_length_c 6.028
_cell_angle_alpha 90.00
_cell_angle_beta 90.00
_cell_angle_gamma 90.00
_symmetry_space_group_name_H-M 'I b a m'
_symmetry_Int_Tables_number 72
_symmetry_space_group_name_Hall '-I 2 2c'
loop_
_atom_site_label
_atom_site_type_symbol
_atom_site_fract_x
_atom_site_fract_y
_atom_site_fract_z
Er1 Er 0.120 0.113 0.000
Tm1 Tm 0.000 0.500 0.250
Cd1 Cd 0.230 0.148 0.500
```


Relative energies with respect to the most stable structure, expressed in meV per atom: <A> 0; <B> 321.


<A>
Density functional theory data (PBE-GGA) for a geometry-optimized Er3Tm2Cd structure.

Summary:
The crystal system is tetragonal. The value obtained for the calculated volume is 173 Å³/cell.

Structure (CIF):
```
data_Er3Tm2Cd
_chemical_formula_sum 'Er3 Tm2 Cd1'
_cell_length_a 3.510
_cell_length_b 3.510
_cell_length_c 14.044
_cell_angle_alpha 90.00
_cell_angle_beta 90.00
_cell_angle_gamma 90.00
_symmetry_space_group_name_H-M 'P 4/m m m'
_symmetry_Int_Tables_number 123
_symmetry_space_group_name_Hall '-P 4 2'
loop_
_atom_site_label
_atom_site_type_symbol
_atom_site_fract_x
_atom_site_fract_y
_atom_site_fract_z
Er1 Er 0.000 0.000 0.000
Er2 Er 0.000 0.000 0.351
Tm1 Tm 0.500 0.500 0.175
Cd1 Cd 0.500 0.500 0.500
```


<B>
Density functional theory data (PBE-GGA) for a geometry-optimized Er3Tm2Cd structure.

Summary:
The crystal system is orthorhombic. The value obtained for the calculated volume is 371 Å³/cell.

Structure (CIF):
```
data_Er3Tm2Cd
_chemical_formula_sum 'Er6 Tm4 Cd2'
_cell_length_a 3.308
_cell_length_b 9.793
_cell_length_c 11.458
_cell_angle_alpha 90.00
_cell_angle_beta 90.00
_cell_angle_gamma 90.00
_symmetry_space_group_name_H-M 'I m m 2'
_symmetry_Int_Tables_number 44
loop_
_symmetry_equiv_pos_as_xyz
'x,y,z'
'-x,-y,z'
'-x,y,z'
'x,-y,z'
'x+1/2,y+1/2,z+1/2'
'-x+1/2,-y+1/2,z+1/2'
'-x+1/2,y+1/2,z+1/2'
'x+1/2,-y+1/2,z+1/2'
loop_
_atom_site_label
_atom_site_type_symbol
_atom_site_fract_x
_atom_site_fract_y
_atom_site_fract_z
Er1 Er 0.000 0.000 0.000
Er2 Er 0.000 0.338 0.968
Tm1 Tm 0.000 0.172 0.717
Cd1 Cd 0.000 0.500 0.733
```


Relative energies with respect to the most stable structure, expressed in meV per atom: <A> 0; <B> 438.